# CuH8C2NCl3 | Alexandria | GGA-PBEsol | relaxed
# Uncorrected energy = -4.685 eV per atom
data_CuH8C2NCl3
_chemical_formula_sum 'Cu8 H64 C16 N8 Cl24'
_symmetry_space_group_name_H-M 'C 1 2/c 1'
_symmetry_Int_Tables_number 15
_symmetry_space_group_name_Hall '-C 2yc'
_cell_length_a 17.224
_cell_length_b 8.616
_cell_length_c 11.610
_cell_angle_alpha 90.00
_cell_angle_beta 125.31
_cell_angle_gamma 90.00
loop_
_atom_site_label
_atom_site_fract_x
_atom_site_fract_y
_atom_site_fract_z
_atom_site_occupancy
Cu1 0.032 0.121 0.420 1
H1 0.077 0.458 0.181 1
H2 0.112 0.346 0.858 1
H3 0.137 0.390 0.344 1
H4 0.156 0.298 0.756 1
H5 0.194 0.286 0.212 1
H6 0.215 0.108 0.633 1
H7 0.224 0.481 0.195 1
H8 0.236 0.375 0.933 1
C1 0.164 0.378 0.835 1
C2 0.217 0.401 0.262 1
N1 0.144 0.463 0.279 1
Cl1 0.048 0.136 0.977 1
Cl2 0.068 0.376 0.463 1
Cl3 0.122 0.094 0.336 1

# CuH18C4N10Cl2O2 | Alexandria | GGA-PBEsol | relaxed
# Uncorrected energy = -5.924 eV per atom
data_CuH18C4N10Cl2O2
_chemical_formula_sum 'Cu2 H36 C8 N20 Cl4 O4'
_symmetry_space_group_name_H-M 'P -1'
_symmetry_Int_Tables_number 2
_symmetry_space_group_name_Hall '-P 1'
_cell_length_a 6.678
_cell_length_b 9.375
_cell_length_c 12.417
_cell_angle_alpha 68.49
_cell_angle_beta 76.82
_cell_angle_gamma 76.68
loop_
_atom_site_label
_atom_site_fract_x
_atom_site_fract_y
_atom_site_fract_z
_atom_site_occupancy
Cu1 0.230 0.426 0.060 1
H1 0.127 0.681 0.314 1
H2 0.135 0.654 0.145 1
H3 0.161 0.140 0.648 1
H4 0.181 0.880 0.758 1
H5 0.184 0.519 0.434 1
H6 0.185 0.280 0.435 1
H7 0.185 0.722 0.950 1
H8 0.195 0.051 0.467 1
H9 0.197 0.134 0.170 1
H10 0.211 0.966 0.361 1
H11 0.257 0.994 0.874 1
H12 0.302 0.795 0.650 1
H13 0.357 0.560 0.682 1
H14 0.376 0.187 0.563 1
H15 0.395 0.199 0.982 1
H16 0.459 0.158 0.809 1
H17 0.474 0.891 0.846 1
H18 0.489 0.321 0.679 1
C1 0.162 0.476 0.286 1
C2 0.199 0.203 0.300 1
C3 0.276 0.645 0.818 1
C4 0.375 0.369 0.835 1
N1 0.132 0.564 0.355 1
N2 0.159 0.534 0.173 1
N3 0.183 0.064 0.383 1
N4 0.191 0.319 0.344 1
N5 0.221 0.229 0.187 1
N6 0.222 0.620 0.931 1
N7 0.278 0.788 0.737 1
N8 0.338 0.526 0.773 1
N9 0.340 0.315 0.949 1
N10 0.447 0.278 0.768 1
Cl1 0.032 0.927 0.188 1
Cl2 0.364 0.699 0.500 1
O1 0.243 0.152 0.569 1
O2 0.405 0.966 0.887 1

# GeC2ClF | Alexandria | GGA-PBEsol | relaxed
# Uncorrected energy = -3.381 eV per atom
# Formation energy without anion corrections = 2.251 eV/atom
data_GeC2ClF
_chemical_formula_sum 'Ge1 C2 Cl1 F1'
_symmetry_space_group_name_H-M 'P 4/m m m'
_symmetry_Int_Tables_number 123
_symmetry_space_group_name_Hall '-P 4 2'
_cell_length_a 3.914
_cell_length_b 3.914
_cell_length_c 4.972
_cell_angle_alpha 90.00
_cell_angle_beta 90.00
_cell_angle_gamma 90.00
loop_
_atom_site_label
_atom_site_fract_x
_atom_site_fract_y
_atom_site_fract_z
_atom_site_occupancy
Ge1 0.000 0.000 0.000 1
C1 0.000 0.500 0.500 1
Cl1 0.500 0.500 0.000 1
F1 0.000 0.000 0.500 1

Computed size of the total moment (μB/cell) in order:
8.20, 2.00, 2.44
Computed volume (Å³/atom) in order:
11.72, 9.39, 15.23
Computed ρ (Mg/m³) in order:
2.04, 1.78, 3.29